Run P
This record from OQMD describes crystalline Dy2Er2Lu3Te2Pd2 at its relaxed geometry. The functional is PBE.

Properties
Density = 9.45 g/cm³
Magnetic moment = 0.02 Bohr magnetons per cell
Space-group type = Imm2, No. 44
V = 290.33 Å³ per cell

Structure (extended XYZ):
```
11
Lattice="-1.9583 7.7561 4.7788 1.9583 -7.7561 4.7788 1.9583 7.7561 -4.7788" Properties=species:S:1:pos:R:3 pbc="T T T"
Dy 0.0000 2.2264 7.0150
Dy 1.9582 5.5297 2.2362
Er 0.0000 5.7332 5.5735
Er 1.9583 2.0229 0.7947
Lu 0.0000 2.8340 3.5712
Lu 1.9583 0.0000 4.7718
Lu 1.9582 4.9222 -1.2076
Pd 0.0000 4.0917 0.6362
Pd 0.0000 11.4205 0.6362
Te 0.0000 0.0000 2.2391
Te 0.0000 7.7561 3.2341
```


Run Q
This record from OQMD describes crystalline Dy2Er2Lu3Te2Pd2 at its relaxed geometry. The functional is PBE.

Properties
Density = 9.48 g/cm³
Magnetic moment = 0.00 Bohr magnetons per cell
Space-group type = Imm2, No. 44
V = 289.52 Å³ per cell

Structure (extended XYZ):
```
11
Lattice="-1.9511 7.7499 4.7868 1.9511 -7.7499 4.7868 1.9511 7.7499 -4.7868" Properties=species:S:1:pos:R:3 pbc="T T T"
Dy 0.0000 2.8291 3.5693
Dy 1.9511 4.9208 -1.2175
Er 0.0000 2.2130 7.0202
Er 1.9511 5.5369 2.2334
Lu 0.0000 5.7269 5.5773
Lu 1.9511 0.0000 4.7805
Lu 1.9511 2.0230 0.7904
Pd 0.0000 4.0671 0.6631
Pd 0.0000 11.4327 0.6631
Te 0.0000 0.0000 2.2145
Te 0.0000 7.7499 3.2558
```


Computed relative energies in units of meV/atom: run P 0; run Q 16


Run P
This record from OQMD describes crystalline BaSm at its relaxed geometry. The functional is PBE.

Properties
Density = 5.35 g/cm³
Magnetic moment = 0.03 Bohr magnetons per cell
Space-group type = Fm-3m, No. 225
V = 89.30 Å³ per cell

Structure (extended XYZ):
```
2
Lattice="0.6327 1.8622 4.6155 -2.3674 -2.0942 3.8962 2.6016 -2.5939 3.4167" Properties=species:S:1:pos:R:3 pbc="T T T"
Ba 0.0000 0.0000 0.0000
Sm 0.4334 -1.4129 5.9642
```


Run Q
This record from OQMD describes crystalline BaSm at its relaxed geometry. The functional is PBE.

Properties
Density = 5.53 g/cm³
Magnetic moment = 0.50 Bohr magnetons per cell
Space-group type = P-6m2, No. 187
V = 86.42 Å³ per cell

Structure (extended XYZ):
```
2
Lattice="-3.6990 1.0958 0.6574 0.8704 -2.1655 -3.1413 -0.9916 -5.4272 3.4666" Properties=species:S:1:pos:R:3 pbc="T T T"
Ba -2.9196 -4.0618 1.9911
Sm -0.9006 -2.4352 -1.0084
```


Computed relative energies in units of meV/atom: run P 526; run Q 0